# NdThCuRh, optimized geometry, DFT PBE-GGA
# - N(E_F) (states/eV/atom) = 0.962
# - formation enthalpy at 0 K (kJ/mol of atoms) = -38.4
# - crystal system = cubic
# - distance to the lowest polymorph of the same formula (eV per atom) = 0.145
# - ρ (Mg/m³) = 9.9
# - DFT total energy (Ry/atom) = -0.46357
data_NdThCuRh
_chemical_formula_sum 'Nd4 Th4 Cu4 Rh4'
_cell_length_a 7.145
_cell_length_b 7.145
_cell_length_c 7.145
_cell_angle_alpha 90.00
_cell_angle_beta 90.00
_cell_angle_gamma 90.00
_space_group_name_H-M_alt 'F -4 3 m'
_space_group_IT_number 216
_space_group_name_Hall 'F -4 2 3'
loop_
_atom_site_label
_atom_site_fract_x
_atom_site_fract_y
_atom_site_fract_z
Nd1 0.000 0.000 0.000
Th1 0.000 0.000 0.500
Cu1 0.250 0.250 0.250
Rh1 0.250 0.250 0.750